1.
First-principles (GGA-PBE) data for a relaxed Rb2DyAsSe4 crystal, as listed in Alexandria via LeMat-Bulk.

```
Rb2DyAsSe4
1.0
-4.376 4.380 6.194
4.376 -4.380 6.194
4.376 4.380 -6.194
Rb Dy As Se
4 2 2 8
direct
0.000 0.000 0.000
0.500 0.000 0.000
0.500 0.000 0.500
0.500 0.500 0.500
0.000 0.500 0.500
0.500 0.500 0.000
0.000 0.000 0.500
0.000 0.500 0.000
0.191 0.734 0.457
0.223 0.266 0.957
0.228 0.260 0.532
0.228 0.695 0.968
0.772 0.305 0.032
0.772 0.740 0.468
0.777 0.734 0.043
0.809 0.266 0.543
```

Summary:
theoretical density: 5.06 g/cm³
formation energy (no corrections): -1.046 eV/atom
space-group type: Imma
total magnetization: 0.0 μB/f.u.
V: 475 Å³ per cell

=====

2.
First-principles (GGA-PBE) data for a relaxed Dy4As6Rh7 crystal, as listed in Alexandria via LeMat-Bulk.

```
Dy4As6Rh7
1.0
-4.203 4.203 4.203
4.203 -4.203 4.203
4.203 4.203 -4.203
Dy As Rh
4 6 7
direct
0.000 0.000 0.500
0.000 0.500 0.000
0.500 0.000 0.000
0.500 0.500 0.500
0.000 0.319 0.319
0.000 0.681 0.681
0.319 0.000 0.319
0.319 0.319 0.000
0.681 0.000 0.681
0.681 0.681 0.000
0.000 0.000 0.000
0.250 0.500 0.750
0.250 0.750 0.500
0.500 0.250 0.750
0.500 0.750 0.250
0.750 0.250 0.500
0.750 0.500 0.250
```

Summary:
theoretical density: 10.18 g/cm³
ΔE_f: -1.016 eV per atom
space-group type: Im-3m
total magnetization: 0.0 μB/f.u.
D(E_F): 0.41 states/eV per atom
V: 297 Å³ per cell

=====

3.
First-principles (GGA-PBE) data for a relaxed Dy4AsRh2 crystal, as listed in Alexandria via LeMat-Bulk.

```
Dy4AsRh2
1.0
4.528 -6.079 0.000
4.528 6.079 0.000
-3.597 0.000 6.114
Dy As Rh
8 2 4
direct
0.004 0.996 0.500
0.029 0.532 0.757
0.405 0.535 0.188
0.457 0.847 0.674
0.532 0.029 0.257
0.535 0.405 0.688
0.847 0.457 0.174
0.996 0.004 0.000
0.159 0.371 0.414
0.371 0.159 0.914
0.161 0.786 0.218
0.685 0.755 0.059
0.755 0.685 0.559
0.786 0.161 0.718
```

Summary:
theoretical density: 9.18 g/cm³
ΔE_f: -0.870 eV per atom
space-group type: Cc
total magnetization: 0.0 μB/f.u.
D(E_F): 0.62 states/eV per atom
V: 337 Å³ per cell

=====

4.
First-principles (GGA-PBE) data for a relaxed Dy3As4Rh7 crystal, as listed in Alexandria via LeMat-Bulk.

```
Dy3As4Rh7
1.0
7.664 -2.026 0.000
7.664 2.026 0.000
-5.332 0.000 7.721
Dy As Rh
3 4 7
direct
0.000 0.000 0.000
0.332 0.332 0.337
0.668 0.668 0.663
0.109 0.109 0.830
0.334 0.334 0.730
0.666 0.666 0.270
0.891 0.891 0.170
0.000 0.000 0.500
0.167 0.167 0.425
0.303 0.303 0.960
0.491 0.491 0.720
0.509 0.509 0.280
0.697 0.697 0.040
0.833 0.833 0.575
```

Summary:
theoretical density: 10.44 g/cm³
ΔE_f: -0.923 eV per atom
space-group type: C2/m
total magnetization: 0.0 μB/f.u.
D(E_F): 0.58 states/eV per atom
V: 240 Å³ per cell

=====

5.
First-principles (GGA-PBE) data for a relaxed DyAs3Rh3 crystal, as listed in Alexandria via LeMat-Bulk.

```
DyAs3Rh3
1.0
6.683 0.000 0.000
0.000 6.683 0.000
0.000 0.000 6.683
Dy As Rh
2 6 6
direct
0.000 0.000 0.000
0.500 0.500 0.500
0.000 0.250 0.500
0.000 0.750 0.500
0.250 0.500 0.000
0.500 0.000 0.250
0.500 0.000 0.750
0.750 0.500 0.000
0.000 0.500 0.250
0.000 0.500 0.750
0.250 0.000 0.500
0.500 0.250 0.000
0.500 0.750 0.000
0.750 0.000 0.500
```

Summary:
theoretical density: 7.74 g/cm³
ΔE_f: -0.304 eV per atom
space-group type: Pm-3n
total magnetization: 0.0 μB/f.u.
D(E_F): 0.84 states/eV per atom
V: 298 Å³ per cell

=====

6.
First-principles (GGA-PBE) data for a relaxed Dy2As3Rh5 crystal, as listed in Alexandria via LeMat-Bulk.

```
Dy2As3Rh5
1.0
2.080 -12.306 0.000
2.080 12.306 0.000
0.000 0.000 6.670
Dy As Rh
4 6 10
direct
0.019 0.981 0.500
0.323 0.677 0.446
0.677 0.323 0.946
0.981 0.019 0.000
0.111 0.889 0.745
0.279 0.721 0.890
0.453 0.547 0.713
0.547 0.453 0.213
0.721 0.279 0.390
0.889 0.111 0.245
0.099 0.901 0.132
0.202 0.798 0.607
0.224 0.776 0.195
0.378 0.622 0.968
0.443 0.557 0.339
0.557 0.443 0.839
0.622 0.378 0.468
0.776 0.224 0.695
0.798 0.202 0.107
0.901 0.099 0.632
```

Summary:
theoretical density: 10.35 g/cm³
ΔE_f: -0.802 eV per atom
space-group type: Cmc2_1
total magnetization: 0.0 μB/f.u.
D(E_F): 0.68 states/eV per atom
V: 341 Å³ per cell

=====

7.
First-principles (GGA-PBE) data for a relaxed Dy2As7Rh12 crystal, as listed in Alexandria via LeMat-Bulk.

```
Dy2As7Rh12
1.0
9.977 0.000 0.000
-4.989 8.640 0.000
0.000 0.000 3.921
Dy As Rh
2 7 12
direct
0.000 0.000 0.000
0.333 0.667 0.498
0.072 0.621 0.999
0.261 0.046 0.498
0.379 0.451 0.999
0.549 0.928 0.999
0.667 0.333 0.745
0.785 0.739 0.498
0.954 0.215 0.498
0.048 0.781 0.499
0.115 0.400 0.999
0.219 0.267 0.499
0.285 0.885 0.999
0.403 0.218 0.001
0.518 0.069 0.496
0.552 0.482 0.496
0.600 0.715 0.999
0.733 0.952 0.499
0.782 0.185 0.001
0.815 0.597 0.001
0.931 0.448 0.496
```

Summary:
theoretical density: 10.24 g/cm³
ΔE_f: -0.702 eV per atom
space-group type: P3
total magnetization: 0.0 μB/f.u.
D(E_F): 0.72 states/eV per atom
V: 338 Å³ per cell

=====

8.
First-principles (GGA-PBE) data for a relaxed DyAs2Rh2 crystal, as listed in Alexandria via LeMat-Bulk.

```
DyAs2Rh2
1.0
1.999 -5.837 0.000
1.999 5.837 0.000
0.000 0.000 7.618
Dy As Rh
2 4 4
direct
0.093 0.907 0.500
0.907 0.093 0.000
0.236 0.764 0.816
0.446 0.554 0.679
0.554 0.446 0.179
0.764 0.236 0.316
0.186 0.814 0.128
0.390 0.610 0.367
0.610 0.390 0.867
0.814 0.186 0.628
```

Summary:
theoretical density: 9.68 g/cm³
ΔE_f: -0.835 eV per atom
space-group type: Cmc2_1
total magnetization: 0.0 μB/f.u.
D(E_F): 0.63 states/eV per atom
V: 178 Å³ per cell

=====

9.
First-principles (GGA-PBE) data for a relaxed Dy2As2Rh5 crystal, as listed in Alexandria via LeMat-Bulk.

```
Dy2As2Rh5
1.0
4.226 0.000 0.000
0.000 4.226 0.000
0.000 0.000 8.795
Dy As Rh
2 2 5
direct
0.000 0.000 0.000
0.000 0.000 0.500
0.500 0.500 0.146
0.500 0.500 0.854
0.000 0.500 0.269
0.000 0.500 0.731
0.500 0.000 0.269
0.500 0.000 0.731
0.500 0.500 0.500
```

Summary:
theoretical density: 10.46 g/cm³
ΔE_f: -0.800 eV per atom
space-group type: P4/mmm
total magnetization: 0.0 μB/f.u.
D(E_F): 0.62 states/eV per atom
V: 157 Å³ per cell

=====

10.
First-principles (GGA-PBE) data for a relaxed DyAsRh crystal, as listed in Alexandria via LeMat-Bulk.

```
DyAsRh
1.0
6.922 0.000 0.000
0.000 4.034 0.000
-0.194 0.000 12.022
Dy As Rh
6 6 6
direct
0.026 0.250 0.207
0.342 0.750 0.579
0.471 0.750 0.878
0.529 0.250 0.122
0.658 0.250 0.421
0.974 0.750 0.793
0.228 0.250 0.416
0.230 0.750 0.076
0.269 0.250 0.748
0.731 0.750 0.252
0.770 0.250 0.924
0.772 0.750 0.584
0.002 0.750 0.410
0.153 0.250 0.957
0.361 0.750 0.294
0.639 0.250 0.706
0.847 0.750 0.043
0.998 0.250 0.590
```

Summary:
theoretical density: 10.10 g/cm³
ΔE_f: -1.126 eV per atom
space-group type: P2_1/m
total magnetization: 0.0 μB/f.u.
D(E_F): 0.80 states/eV per atom
V: 336 Å³ per cell

=====

11.
First-principles (GGA-PBE) data for a relaxed Dy3As2Rh7 crystal, as listed in Alexandria via LeMat-Bulk.

```
Dy3As2Rh7
1.0
2.055 -13.893 0.000
2.055 13.893 0.000
0.000 0.000 3.995
Dy As Rh
3 2 7
direct
0.000 0.000 0.000
0.202 0.798 0.000
0.798 0.202 0.000
0.415 0.585 0.500
0.585 0.415 0.500
0.130 0.870 0.500
0.290 0.710 0.500
0.368 0.632 0.000
0.500 0.500 0.500
0.632 0.368 0.000
0.710 0.290 0.500
0.870 0.130 0.500
```

Summary:
theoretical density: 9.88 g/cm³
ΔE_f: -0.616 eV per atom
space-group type: Cmmm
total magnetization: 0.0 μB/f.u.
D(E_F): 0.52 states/eV per atom
V: 228 Å³ per cell

=====

12.
First-principles (GGA-PBE) data for a relaxed DyAs3Rh5 crystal, as listed in Alexandria via LeMat-Bulk.

```
DyAs3Rh5
1.0
1.942 -6.425 0.000
1.942 6.425 0.000
0.000 0.000 12.637
Dy As Rh
2 6 10
direct
0.111 0.889 0.750
0.889 0.111 0.250
0.125 0.875 0.250
0.382 0.618 0.041
0.382 0.618 0.459
0.618 0.382 0.541
0.618 0.382 0.959
0.875 0.125 0.750
0.000 0.000 0.000
0.000 0.000 0.500
0.203 0.797 0.074
0.203 0.797 0.426
0.451 0.549 0.644
0.451 0.549 0.856
0.549 0.451 0.144
0.549 0.451 0.356
0.797 0.203 0.574
0.797 0.203 0.926
```

Summary:
theoretical density: 9.50 g/cm³
ΔE_f: -0.576 eV per atom
space-group type: Cmcm
total magnetization: 0.0 μB/f.u.
D(E_F): 0.59 states/eV per atom
V: 315 Å³ per cell

=====

13.
First-principles (GGA-PBE) data for a relaxed DyScAs2Rh5 crystal, as listed in Alexandria via LeMat-Bulk.

```
DyScAs2Rh5
1.0
4.198 0.000 0.000
0.000 4.198 0.000
0.000 0.000 8.711
Dy Sc As Rh
1 1 2 5
direct
0.000 0.000 0.000
0.000 0.000 0.500
0.500 0.500 0.359
0.500 0.500 0.641
0.000 0.500 0.236
0.000 0.500 0.764
0.500 0.000 0.236
0.500 0.000 0.764
0.500 0.500 0.000
```

Summary:
theoretical density: 9.43 g/cm³
ΔE_f: -0.708 eV per atom
space-group type: P4/mmm
total magnetization: 0.0 μB/f.u.
D(E_F): 0.63 states/eV per atom
V: 154 Å³ per cell

=====

14.
First-principles (GGA-PBE) data for a relaxed Dy2SiAsRh6 crystal, as listed in Alexandria via LeMat-Bulk.

```
Dy2SiAsRh6
1.0
5.616 -2.720 0.000
5.616 2.720 0.000
-5.024 0.000 5.642
Dy Si As Rh
2 1 1 6
direct
0.004 0.004 0.252
0.996 0.996 0.748
0.500 0.500 0.000
0.500 0.500 0.500
0.005 0.503 0.704
0.324 0.324 0.071
0.497 0.995 0.296
0.503 0.005 0.704
0.676 0.676 0.929
0.995 0.497 0.296
```

Summary:
theoretical density: 10.07 g/cm³
formation energy (no corrections): -0.676 eV/atom
space-group type: C2/m
total magnetization: 0.0 μB/f.u.
D(E_F): 0.53 states/eV per atom
V: 172 Å³ per cell

=====

15.
First-principles (GGA-PBE) data for a relaxed Dy3SiAs2Rh9 crystal, as listed in Alexandria via LeMat-Bulk.

```
Dy3SiAs2Rh9
1.0
6.342 0.000 0.000
-3.171 5.492 0.000
0.000 0.000 8.353
Dy Si As Rh
3 1 2 9
direct
0.000 0.000 0.000
0.333 0.667 0.709
0.667 0.333 0.291
0.000 0.000 0.500
0.333 0.667 0.185
0.667 0.333 0.815
0.000 0.500 0.000
0.142 0.284 0.289
0.142 0.858 0.289
0.284 0.142 0.711
0.500 0.000 0.000
0.500 0.500 0.000
0.716 0.858 0.289
0.858 0.142 0.711
0.858 0.716 0.711
```

Summary:
theoretical density: 9.08 g/cm³
formation energy (no corrections): -0.506 eV/atom
space-group type: P-3m1
total magnetization: 0.0 μB/f.u.
D(E_F): 0.20 states/eV per atom
V: 291 Å³ per cell

=====

16.
First-principles (GGA-PBE) data for a relaxed Dy3Si2AsRh9 crystal, as listed in Alexandria via LeMat-Bulk.

```
Dy3Si2AsRh9
1.0
6.171 0.000 0.000
-3.086 5.345 0.000
0.000 0.000 8.618
Dy Si As Rh
3 2 1 9
direct
0.000 0.000 0.000
0.333 0.667 0.717
0.667 0.333 0.283
0.333 0.667 0.171
0.667 0.333 0.829
0.000 0.000 0.500
0.000 0.500 0.000
0.147 0.294 0.285
0.147 0.853 0.285
0.294 0.147 0.715
0.500 0.000 0.000
0.500 0.500 0.000
0.706 0.853 0.285
0.853 0.147 0.715
0.853 0.706 0.715
```

Summary:
theoretical density: 9.02 g/cm³
formation energy (no corrections): -0.603 eV/atom
space-group type: P-3m1
total magnetization: 0.0 μB/f.u.
D(E_F): 0.64 states/eV per atom
V: 284 Å³ per cell

=====

17.
First-principles (GGA-PBE) data for a relaxed Sm2DyAs3Rh12 crystal, as listed in Alexandria via LeMat-Bulk.

```
Sm2DyAs3Rh12
1.0
4.564 2.635 4.326
-4.564 2.635 4.326
0.000 -5.270 4.326
Sm Dy As Rh
2 1 3 12
direct
0.141 0.141 0.141
0.859 0.859 0.859
0.500 0.500 0.500
0.000 0.500 0.500
0.500 0.000 0.500
0.500 0.500 0.000
0.121 0.121 0.601
0.121 0.601 0.121
0.177 0.685 0.685
0.315 0.315 0.823
0.315 0.823 0.315
0.399 0.879 0.879
0.601 0.121 0.121
0.685 0.177 0.685
0.685 0.685 0.177
0.823 0.315 0.315
0.879 0.399 0.879
0.879 0.879 0.399
```

Summary:
theoretical density: 10.23 g/cm³
ΔE_f: -0.312 eV per atom
space-group type: R-3m
total magnetization: 0.0 μB/f.u.
D(E_F): 1.00 states/eV per atom
V: 312 Å³ per cell

=====

18.
First-principles (GGA-PBE) data for a relaxed SmDyAs2Rh5 crystal, as listed in Alexandria via LeMat-Bulk.

```
SmDyAs2Rh5
1.0
4.257 0.000 0.000
0.000 4.257 0.000
0.000 0.000 8.817
Sm Dy As Rh
1 1 2 5
direct
0.000 0.000 0.000
0.000 0.000 0.500
0.500 0.500 0.354
0.500 0.500 0.646
0.000 0.500 0.235
0.000 0.500 0.765
0.500 0.000 0.235
0.500 0.000 0.765
0.500 0.500 0.000
```

Summary:
theoretical density: 10.15 g/cm³
ΔE_f: -0.763 eV per atom
space-group type: P4/mmm
total magnetization: 0.0 μB/f.u.
D(E_F): 0.48 states/eV per atom
V: 160 Å³ per cell

=====

19.
First-principles (GGA-PBE) data for a relaxed Sm2DyAs3Rh4 crystal, as listed in Alexandria via LeMat-Bulk.

```
Sm2DyAs3Rh4
1.0
4.116 0.000 0.000
0.000 4.116 0.000
0.000 0.000 11.435
Sm Dy As Rh
2 1 3 4
direct
0.000 0.500 0.224
0.500 0.000 0.776
0.000 0.000 0.500
0.000 0.500 0.872
0.500 0.000 0.128
0.500 0.500 0.500
0.000 0.000 0.000
0.000 0.500 0.660
0.500 0.000 0.340
0.500 0.500 0.000
```

Summary:
theoretical density: 9.43 g/cm³
ΔE_f: -0.963 eV per atom
space-group type: P-4m2
total magnetization: 0.0 μB/f.u.
D(E_F): 0.62 states/eV per atom
V: 194 Å³ per cell